# CsNa2AsAu PBE optimized geometry
# DOS(E_F), states/eV per cell: 3.100
# Theoretical density, kg/m3: 3016
# Crystal system: tetragonal
# Energy above the lowest structure with this stoichiometry, eV per atom: 1.0796
data_CsNa2AsAu
_space_group_name_H-M_alt 'P 4/m m m'
_space_group_IT_number 123
_space_group_name_Hall '-P 4 2'
_cell_length_a 6.642
_cell_length_b 6.642
_cell_length_c 5.626
_cell_angle_alpha 90.00
_cell_angle_beta 90.00
_cell_angle_gamma 90.00
loop_
_atom_site_label
_atom_site_type_symbol
_atom_site_fract_x
_atom_site_fract_y
_atom_site_fract_z
Cs1 Cs 0.000 0.000 0.000
Na1 Na 0.000 0.500 0.000
As1 As 0.000 0.000 0.500
Au1 Au 0.500 0.500 0.500